12
Lattice="3.583 -3.607 0.000 3.583 3.607 0.000 0.000 0.000 6.895" Properties=species:S:1:pos:R:3 comment="NdY2OsO8 | the Alexandria database | PBE | relaxed" sg="Cmmm, No. 65" vol_a3_per_atom=14.85 formation_energy_uncorrected_ev_per_atom=-2.481 e_tot_ev_per_atom=-8.197 pbc="T T T"
Nd 0.000 0.000 0.000
Y 3.583 0.000 1.709
Y 3.583 0.000 5.185
Os 0.000 0.000 3.447
O 1.326 0.000 2.049
O 1.326 0.000 4.845
O 3.583 1.720 3.447
O 3.583 1.336 0.000
O 3.583 -1.336 0.000
O 3.583 -1.720 3.447
O 5.840 0.000 2.049
O 5.840 0.000 4.845